VASP calculation (GGA+U) on Ba8Mn6Co2ClO22 after structural relaxation.

Cell lengths 5.8129, 5.8129, 19.8808 Å; angles 90.00, 90.00, 120.01 degrees
Fractional coordinates of all 39 atoms:
Co (0.3388, 0.6612, 0.9103)
Co (0.3388, 0.6612, 0.0897)
Ba (0.3308, 0.6692, 0.5000)
Ba (0.9978, 0.0022, 0.3813)
Ba (0.9978, 0.0022, 0.6187)
Ba (0.3318, 0.6682, 0.7356)
Ba (0.0029, 0.9971, 0.8475)
Ba (0.6735, 0.3265, 0.0000)
Ba (0.3318, 0.6682, 0.2644)
Ba (0.0029, 0.9971, 0.1525)
O (0.8124, 0.6282, 0.7496)
O (0.8124, 0.6326, 0.5000)
O (0.9907, 0.4880, 0.8701)
O (0.8124, 0.6282, 0.2504)
O (0.3048, 0.6952, 0.0000)
O (0.8125, 0.1875, 0.5000)
O (0.5120, 0.0093, 0.1299)
O (0.5162, 0.4838, 0.6247)
O (0.8134, 0.1866, 0.7486)
O (0.9610, 0.4841, 0.3756)
O (0.5162, 0.4838, 0.3753)
O (0.5120, 0.0093, 0.8701)
O (0.5159, 0.0390, 0.3756)
O (0.5123, 0.4877, 0.8755)
O (0.9907, 0.4880, 0.1299)
O (0.5159, 0.0390, 0.6244)
O (0.8134, 0.1866, 0.2514)
O (0.3674, 0.1876, 0.5000)
O (0.3718, 0.1876, 0.7496)
O (0.5123, 0.4877, 0.1245)
O (0.3718, 0.1876, 0.2504)
O (0.9610, 0.4841, 0.6244)
Mn (0.6647, 0.3353, 0.6897)
Mn (0.6700, 0.3300, 0.8195)
Mn (0.6647, 0.3353, 0.3103)
Mn (0.6700, 0.3300, 0.1805)
Mn (0.6642, 0.3358, 0.5631)
Mn (0.6642, 0.3358, 0.4369)
Cl (0.9879, 0.0121, 0.0000)

Computed properties:
uncorrected energy = -6.654 eV/atom



VASP calculation (GGA+U) on Ba6Mn4Co2ClO16 after structural relaxation.

Cell lengths 5.8184, 5.8184, 14.9252 Å; angles 90.00, 90.00, 120.07 degrees
Fractional coordinates of all 29 atoms:
Ba (0.0039, 0.9961, 0.5000)
Ba (0.3376, 0.6624, 0.6491)
Ba (0.0015, 0.9985, 0.7968)
Ba (0.3376, 0.6624, 0.3509)
Ba (0.6589, 0.3411, 0.0000)
Ba (0.0015, 0.9985, 0.2032)
Mn (0.6711, 0.3289, 0.5851)
Mn (0.6687, 0.3313, 0.7584)
Mn (0.6711, 0.3289, 0.4149)
Mn (0.6687, 0.3313, 0.2416)
O (0.3564, 0.6436, 0.0000)
O (0.8187, 0.6241, 0.3346)
O (0.5087, 0.0114, 0.1706)
O (0.5101, 0.4899, 0.1732)
O (0.9886, 0.4913, 0.1706)
O (0.5224, 0.4776, 0.5000)
O (0.5220, 0.0321, 0.5000)
O (0.8187, 0.6241, 0.6654)
O (0.9886, 0.4913, 0.8294)
O (0.8182, 0.1818, 0.3349)
O (0.9679, 0.4780, 0.5000)
O (0.5087, 0.0114, 0.8294)
O (0.8182, 0.1818, 0.6651)
O (0.3759, 0.1813, 0.3346)
O (0.3759, 0.1813, 0.6654)
O (0.5101, 0.4899, 0.8268)
Co (0.3333, 0.6667, 0.1204)
Co (0.3333, 0.6667, 0.8796)
Cl (0.0149, 0.9851, 0.0000)

Computed properties:
uncorrected energy = -6.569 eV/atom